Entry 1:
Mg2SiPd | PBE | optimized geometry

```
Mg2SiPd
1.0
4.112 0.000 0.000
0.000 4.112 0.000
0.000 0.000 3.908
Mg Si Pd
2 1 1
Direct
0.000 0.500 0.000 Mg
0.500 0.000 0.000 Mg
0.000 0.000 0.500 Si
0.500 0.500 0.500 Pd
```

size of the total moment: 0.0 μB/f.u.
DOS at the Fermi energy: 1.3 states/eV/cell
mass density: 4.602 g/cm3
E: -15.22 eV per cell
calculated volume: 16.5 Å³ per atom

Entry 2:
BPdRu2 | PBE | optimized geometry

```
BPdRu2
1.0
4.469 0.000 0.000
0.000 4.469 0.000
0.000 0.000 12.864
B Pd Ru
4 4 8
Direct
0.000 0.000 0.000 B
0.000 0.500 0.250 B
0.500 0.000 0.750 B
0.500 0.500 0.500 B
0.000 0.000 0.500 Pd
0.000 0.500 0.750 Pd
0.500 0.000 0.250 Pd
0.500 0.500 0.000 Pd
0.136 0.250 0.125 Ru
0.250 0.636 0.375 Ru
0.250 0.864 0.875 Ru
0.364 0.250 0.625 Ru
0.636 0.750 0.625 Ru
0.750 0.136 0.875 Ru
0.750 0.364 0.375 Ru
0.864 0.750 0.125 Ru
```

size of the total moment: 0.0 μB/f.u.
DFT formation energy: 841 meV/atom
DOS at the Fermi energy: 28.5 states/eV/cell
mass density: 8.255 g/cm3
E: -108.24 eV per cell
calculated volume: 16.1 Å³ per atom

Entry 3:
GaB2As | PBE | optimized geometry

```
GaB2As
1.0
5.874 0.000 0.000
0.000 5.874 0.000
0.000 0.000 5.874
Ga B As
4 8 4
Direct
0.000 0.000 0.000 Ga
0.000 0.500 0.500 Ga
0.500 0.000 0.500 Ga
0.500 0.500 0.000 Ga
0.250 0.250 0.250 B
0.250 0.250 0.750 B
0.250 0.750 0.250 B
0.250 0.750 0.750 B
0.750 0.250 0.250 B
0.750 0.250 0.750 B
0.750 0.750 0.250 B
0.750 0.750 0.750 B
0.000 0.000 0.500 As
0.000 0.500 0.000 As
0.500 0.000 0.000 As
0.500 0.500 0.500 As
```

size of the total moment: 0.0 μB/f.u.
DFT formation energy: 1378 meV/atom
DOS at the Fermi energy: 6.5 states/eV/cell
mass density: 5.449 g/cm3
E: -62.07 eV per cell
calculated volume: 12.7 Å³ per atom

Entry 4:
GdZrCd | PBE | optimized geometry

```
GdZrCd
1.0
5.151 0.000 0.000
-2.575 4.461 0.000
0.000 0.000 3.371
Gd Zr Cd
1 1 1
Direct
0.000 0.000 0.000 Gd
0.333 0.667 0.514 Zr
0.667 0.333 0.472 Cd
```

size of the total moment: 7.2 μB/f.u.
DFT formation energy: 64 meV/atom
DOS at the Fermi energy: 2.8 states/eV/cell
mass density: 7.736 g/cm3
E: -23.35 eV per cell
calculated volume: 25.8 Å³ per atom

Entry 5:
SrAgPS2 | PBE | optimized geometry

```
SrAgPS2
1.0
5.050 0.000 0.000
0.000 5.050 0.000
0.000 0.000 4.685
Sr Ag P S
1 1 1 2
Direct
0.000 0.000 0.000 Sr
0.500 0.500 0.500 Ag
0.500 0.500 0.000 P
0.000 0.500 0.500 S
0.500 0.000 0.500 S
```

size of the total moment: 0.6 μB/f.u.
DOS at the Fermi energy: 3.2 states/eV/cell
mass density: 4.038 g/cm3
E: -19.02 eV per cell
calculated volume: 23.9 Å³ per atom